No. 1
The following is a PBE calculation of crystalline La4TeAsCl2 at its relaxed geometry, from the Alexandria database.

The structure in CIF format:
```
data_La4TeAsCl2
_chemical_formula_sum 'La4 Te1 As1 Cl2'
_space_group_name_H-M_alt 'P 1'
_space_group_IT_number 1
_space_group_name_Hall 'P 1'
_cell_length_a 4.343
_cell_length_b 7.306
_cell_length_c 7.708
_cell_angle_alpha 70.32
_cell_angle_beta 90.00
_cell_angle_gamma 90.00
loop_
_atom_site_label
_atom_site_type_symbol
_atom_site_fract_x
_atom_site_fract_y
_atom_site_fract_z
La1 La 0.500 0.765 0.223
La2 La 0.000 0.251 0.227
Cl1 Cl 0.000 0.000 0.000
As1 As 0.500 0.500 0.000
La3 La 0.500 0.235 0.777
Te1 Te 0.000 0.500 0.500
Cl2 Cl 0.500 0.000 0.500
La4 La 0.000 0.749 0.773
```

Properties
Symmetry   P2/m (10)
E_form (uncorrected)   -1.605 eV/atom
N(E_F)   5.30 states/eV/f.u.

=====

No. 2
The following is a PBE calculation of crystalline La4Te2AsCl at its relaxed geometry, from the Alexandria database.

The structure in CIF format:
```
data_La4Te2AsCl
_chemical_formula_sum 'La4 Te2 As1 Cl1'
_space_group_name_H-M_alt 'P 1'
_space_group_IT_number 1
_space_group_name_Hall 'P 1'
_cell_length_a 4.413
_cell_length_b 7.608
_cell_length_c 7.768
_cell_angle_alpha 109.18
_cell_angle_beta 90.00
_cell_angle_gamma 90.00
loop_
_atom_site_label
_atom_site_type_symbol
_atom_site_fract_x
_atom_site_fract_y
_atom_site_fract_z
La1 La 0.000 0.747 0.224
La2 La 0.500 0.764 0.778
La3 La 0.500 0.236 0.222
Te1 Te 0.500 0.000 0.500
Cl1 Cl 0.500 0.500 0.000
Te2 Te 0.000 0.500 0.500
La4 La 0.000 0.253 0.776
As1 As 0.000 0.000 0.000
```

Properties
Symmetry   P2/m (10)
E_form (uncorrected)   -1.613 eV/atom
N(E_F)   4.09 states/eV/f.u.

=====

No. 3
The following is a PBE calculation of crystalline La8Te4As3Cl at its relaxed geometry, from the Alexandria database.

The structure in CIF format:
```
data_La8Te4As3Cl
_chemical_formula_sum 'La8 Te4 As3 Cl1'
_space_group_name_H-M_alt 'P 1'
_space_group_IT_number 1
_space_group_name_Hall 'P 1'
_cell_length_a 8.847
_cell_length_b 9.000
_cell_length_c 8.847
_cell_angle_alpha 119.44
_cell_angle_beta 120.00
_cell_angle_gamma 90.00
loop_
_atom_site_label
_atom_site_type_symbol
_atom_site_fract_x
_atom_site_fract_y
_atom_site_fract_z
Cl1 Cl 0.000 0.500 0.000
La1 La 0.755 0.276 0.021
La2 La 0.733 0.724 0.979
La3 La 0.245 0.724 0.979
Te1 Te 0.000 0.000 0.500
As1 As 0.000 0.500 0.500
As2 As 0.500 0.500 0.000
As3 As 0.500 0.500 0.500
La4 La 0.245 0.724 0.491
La5 La 0.741 0.722 0.481
La6 La 0.755 0.276 0.509
La7 La 0.259 0.278 0.519
Te2 Te 0.500 0.000 0.000
La8 La 0.267 0.276 0.021
Te3 Te 0.000 0.000 0.000
Te4 Te 0.500 0.000 0.500
```

Properties
Symmetry   R-3m (166)
E_form (uncorrected)   -1.635 eV/atom
N(E_F)   9.89 states/eV/f.u.

=====

No. 4
The following is a PBE calculation of crystalline La6Te3AsCl2 at its relaxed geometry, from the Alexandria database.

The structure in CIF format:
```
data_La6Te3AsCl2
_chemical_formula_sum 'La6 Te3 As1 Cl2'
_space_group_name_H-M_alt 'P 1'
_space_group_IT_number 1
_space_group_name_Hall 'P 1'
_cell_length_a 7.611
_cell_length_b 7.611
_cell_length_c 7.700
_cell_angle_alpha 99.47
_cell_angle_beta 99.47
_cell_angle_gamma 120.00
loop_
_atom_site_label
_atom_site_type_symbol
_atom_site_fract_x
_atom_site_fract_y
_atom_site_fract_z
La1 La 0.075 0.403 0.223
La2 La 0.253 0.253 0.775
Cl1 Cl 0.333 0.667 0.000
La3 La 0.597 0.925 0.777
Te1 Te 0.833 0.167 0.500
Te2 Te 0.500 0.500 0.500
La4 La 0.747 0.747 0.225
As1 As 0.000 0.000 0.000
Te3 Te 0.167 0.833 0.500
Cl2 Cl 0.667 0.333 0.000
La5 La 0.403 0.075 0.223
La6 La 0.925 0.597 0.777
```

Properties
Symmetry   C2/m (12)
E_form (uncorrected)   -1.595 eV/atom
N(E_F)   7.11 states/eV/f.u.

=====

No. 5
The following is a PBE calculation of crystalline La4TeAs2Cl at its relaxed geometry, from the Alexandria database.

The structure in CIF format:
```
data_La4TeAs2Cl
_chemical_formula_sum 'La4 Te1 As2 Cl1'
_space_group_name_H-M_alt 'P 1'
_space_group_IT_number 1
_space_group_name_Hall 'P 1'
_cell_length_a 4.376
_cell_length_b 7.556
_cell_length_c 7.781
_cell_angle_alpha 108.91
_cell_angle_beta 90.00
_cell_angle_gamma 90.00
loop_
_atom_site_label
_atom_site_type_symbol
_atom_site_fract_x
_atom_site_fract_y
_atom_site_fract_z
Te1 Te 0.500 0.500 0.000
La1 La 0.000 0.240 0.722
La2 La 0.500 0.741 0.721
As1 As 0.000 0.500 0.500
As2 As 0.500 0.000 0.500
La3 La 0.500 0.259 0.279
La4 La 0.000 0.760 0.278
Cl1 Cl 0.000 0.000 0.000
```

Properties
Symmetry   P2/m (10)
E_form (uncorrected)   -1.651 eV/atom
N(E_F)   4.32 states/eV/f.u.

=====

No. 6
The following is a PBE calculation of crystalline LaZrAsCl2 at its relaxed geometry, from the Alexandria database.

The structure in CIF format:
```
data_LaZrAsCl2
_chemical_formula_sum 'La1 Zr1 As1 Cl2'
_space_group_name_H-M_alt 'P 1'
_space_group_IT_number 1
_space_group_name_Hall 'P 1'
_cell_length_a 5.234
_cell_length_b 5.331
_cell_length_c 5.234
_cell_angle_alpha 90.00
_cell_angle_beta 90.00
_cell_angle_gamma 90.00
loop_
_atom_site_label
_atom_site_type_symbol
_atom_site_fract_x
_atom_site_fract_y
_atom_site_fract_z
La1 La 0.500 0.500 0.500
Zr1 Zr 0.000 0.500 0.000
Cl1 Cl 0.000 0.000 0.500
As1 As 0.000 0.000 0.000
Cl2 Cl 0.500 0.000 0.000
```

Properties
Symmetry   P4/mmm (123)
E_form (uncorrected)   -0.037 eV/atom
N(E_F)   6.23 states/eV/f.u.

=====

No. 7
The following is a PBE calculation of crystalline Li2AsCl at its relaxed geometry, from the Alexandria database.

The structure in CIF format:
```
data_Li2AsCl
_chemical_formula_sum 'Li2 As1 Cl1'
_space_group_name_H-M_alt 'P 1'
_space_group_IT_number 1
_space_group_name_Hall 'P 1'
_cell_length_a 6.050
_cell_length_b 2.963
_cell_length_c 4.210
_cell_angle_alpha 89.99
_cell_angle_beta 90.00
_cell_angle_gamma 90.00
loop_
_atom_site_label
_atom_site_type_symbol
_atom_site_fract_x
_atom_site_fract_y
_atom_site_fract_z
Li1 Li 0.000 0.868 0.874
Li2 Li 0.500 0.382 0.377
As1 As 0.000 0.369 0.374
Cl1 Cl 0.500 0.881 0.875
```

Properties
Symmetry   Pm (6)
E_form (uncorrected)   -0.740 eV/atom
N(E_F)   2.20 states/eV/f.u.

=====

No. 8
The following is a PBE calculation of crystalline Li2AsCl at its relaxed geometry, from the Alexandria database.

The structure in CIF format:
```
data_Li2AsCl
_chemical_formula_sum 'Li2 As1 Cl1'
_space_group_name_H-M_alt 'P 1'
_space_group_IT_number 1
_space_group_name_Hall 'P 1'
_cell_length_a 4.764
_cell_length_b 4.764
_cell_length_c 3.140
_cell_angle_alpha 90.00
_cell_angle_beta 90.00
_cell_angle_gamma 103.85
loop_
_atom_site_label
_atom_site_type_symbol
_atom_site_fract_x
_atom_site_fract_y
_atom_site_fract_z
Li1 Li 0.500 0.500 0.000
As1 As 0.500 0.000 0.500
Cl1 Cl 0.000 0.500 0.500
Li2 Li 0.000 0.000 0.000
```

Properties
Symmetry   Cmmm (65)
E_form (uncorrected)   -0.707 eV/atom
N(E_F)   0.40 states/eV/f.u.

=====

No. 9
The following is a PBE calculation of crystalline Li2AsCl4 at its relaxed geometry, from the Alexandria database.

The structure in CIF format:
```
data_Li2AsCl4
_chemical_formula_sum 'Li2 As1 Cl4'
_space_group_name_H-M_alt 'P 1'
_space_group_IT_number 1
_space_group_name_Hall 'P 1'
_cell_length_a 6.481
_cell_length_b 6.481
_cell_length_c 5.988
_cell_angle_alpha 122.77
_cell_angle_beta 122.77
_cell_angle_gamma 90.00
loop_
_atom_site_label
_atom_site_type_symbol
_atom_site_fract_x
_atom_site_fract_y
_atom_site_fract_z
Li1 Li 0.250 0.750 0.500
Cl1 Cl 0.135 0.135 0.792
As1 As 0.500 0.500 0.000
Li2 Li 0.750 0.250 0.500
Cl2 Cl 0.344 0.865 0.208
Cl3 Cl 0.865 0.344 0.208
Cl4 Cl 0.656 0.656 0.792
```

Properties
Symmetry   I-42m (121)
E_form (uncorrected)   -1.041 eV/atom

=====

No. 10
The following is a PBE calculation of crystalline Li2AsCl at its relaxed geometry, from the Alexandria database.

The structure in CIF format:
```
data_Li2AsCl
_chemical_formula_sum 'Li2 As1 Cl1'
_space_group_name_H-M_alt 'P 1'
_space_group_IT_number 1
_space_group_name_Hall 'P 1'
_cell_length_a 4.846
_cell_length_b 4.846
_cell_length_c 4.846
_cell_angle_alpha 60.00
_cell_angle_beta 60.00
_cell_angle_gamma 60.00
loop_
_atom_site_label
_atom_site_type_symbol
_atom_site_fract_x
_atom_site_fract_y
_atom_site_fract_z
Li1 Li 0.250 0.250 0.250
Cl1 Cl 0.750 0.750 0.750
As1 As 0.500 0.500 0.500
Li2 Li 0.000 0.000 0.000
```

Properties
Symmetry   F-43m (216)
E_form (uncorrected)   -0.108 eV/atom
N(E_F)   3.84 states/eV/f.u.

=====

No. 11
The following is a PBE calculation of crystalline Li2AsCl at its relaxed geometry, from the Alexandria database.

The structure in CIF format:
```
data_Li2AsCl
_chemical_formula_sum 'Li2 As1 Cl1'
_space_group_name_H-M_alt 'P 1'
_space_group_IT_number 1
_space_group_name_Hall 'P 1'
_cell_length_a 3.168
_cell_length_b 3.168
_cell_length_c 7.520
_cell_angle_alpha 90.00
_cell_angle_beta 90.00
_cell_angle_gamma 90.00
loop_
_atom_site_label
_atom_site_type_symbol
_atom_site_fract_x
_atom_site_fract_y
_atom_site_fract_z
Li1 Li 0.000 0.000 0.829
Li2 Li 0.500 0.500 0.255
Cl1 Cl 0.500 0.500 0.945
As1 As 0.000 0.000 0.471
```

Properties
Symmetry   P4mm (99)
E_form (uncorrected)   -0.957 eV/atom
N(E_F)   0.94 states/eV/f.u.

=====

No. 12
The following is a PBE calculation of crystalline LiAsCl at its relaxed geometry, from the Alexandria database.

The structure in CIF format:
```
data_LiAsCl
_chemical_formula_sum 'Li1 As1 Cl1'
_space_group_name_H-M_alt 'P 1'
_space_group_IT_number 1
_space_group_name_Hall 'P 1'
_cell_length_a 7.015
_cell_length_b 7.015
_cell_length_c 3.139
_cell_angle_alpha 77.07
_cell_angle_beta 77.07
_cell_angle_gamma 25.85
loop_
_atom_site_label
_atom_site_type_symbol
_atom_site_fract_x
_atom_site_fract_y
_atom_site_fract_z
Cl1 Cl 0.259 0.259 0.741
Li1 Li 0.700 0.700 0.300
As1 As 0.041 0.041 0.959
```

Properties
Symmetry   I4mm (107)
E_form (uncorrected)   -0.555 eV/atom
N(E_F)   1.14 states/eV/f.u.

=====

What is the formula in the sixth record? LaZrAsCl2